A geometry-optimized AcHgH structure, computed with PBE.

Output
As for the density: 9.32 g/cm³. The total DFT energy (no corrections) comes out at -2.941 eV per atom. The value obtained for the energy above the most stable polymorph in this dataset is 0.157 eV per atom.

Unit cell a=4.2151 b=4.2151 c=4.9639 alpha=90.00 beta=90.00 gamma=120.00
With the nearest neighbours (Å) after each atom.
Space group P-6m2 (No. 187)
Symmetry-distinct sites (fractional):
1 Ac 0.0000 0.0000 0.0000 (multiplicity 1)  3 H 2.43
2 Hg 0.3333 0.6667 0.5000 (multiplicity 1)  6 Ac 3.48, 6 H 3.48
3 H 0.6667 0.3333 0.0000 (multiplicity 1)  3 Ac 2.43